No. 1
Compound: AlCr4P
Source: the Alexandria database
Functional: meta-GGA SCAN
Structure: PBEsol geometry

- calculated density (g cm⁻³) = 6.1
- space group = F-43m (216)
- spin magnetization (μB/cell) = 0.000
- uncorrected energy (eV per cell) = -90.07
- ΔE_f (meV per atom) = 270

a b c (Å): 4.677 4.677 4.677
angles (deg): 60.00 60.00 60.00
Fractional coordinates of all 6 atoms:
Al1 0.000 0.000 0.000
Cr1 0.126 0.625 0.625
Cr2 0.625 0.126 0.625
Cr3 0.625 0.625 0.126
Cr4 0.625 0.625 0.625
P1 0.250 0.250 0.250



No. 2
Compound: AlCrP2
Source: the Alexandria database
Functional: meta-GGA SCAN
Structure: PBEsol geometry

- calculated density (g cm⁻³) = 4.2
- space group = Pmmm (47)
- spin magnetization (μB/cell) = 2.883
- uncorrected energy (eV per cell) = -46.84
- ΔE_f (meV per atom) = 23

a b c (Å): 3.298 3.535 4.808
angles (deg): 90.00 90.00 90.00
Fractional coordinates of all 4 atoms:
Al1 0.000 0.000 0.000
Cr1 0.000 0.500 0.500
P1 0.500 0.000 0.500
P2 0.500 0.500 0.000



No. 3
Compound: AlCr2P
Source: the Alexandria database
Functional: meta-GGA SCAN
Structure: PBEsol geometry

- calculated density (g cm⁻³) = 5.7
- space group = C2/m (12)
- spin magnetization (μB/cell) = 0.003
- uncorrected energy (eV per cell) = -54.62
- polymorph energy (0 for the lowest one) (meV per atom) = 6
- ΔE_f (meV per atom) = 74

a b c (Å): 4.556 4.556 2.618
angles (deg): 100.84 100.84 111.65
Fractional coordinates of all 4 atoms:
Al1 0.000 0.000 0.000
Cr1 0.000 0.500 0.500
Cr2 0.500 0.000 0.500
P1 0.500 0.500 0.000



No. 4
Compound: AlCrP2
Source: the Alexandria database
Functional: meta-GGA SCAN
Structure: PBEsol geometry

- calculated density (g cm⁻³) = 4.4
- space group = C2/m (12)
- spin magnetization (μB/cell) = 2.918
- uncorrected energy (eV per cell) = -46.90
- ΔE_f (meV per atom) = 9

a b c (Å): 4.183 4.183 3.208
angles (deg): 95.34 95.34 104.36
Fractional coordinates of all 4 atoms:
Al1 0.000 0.000 0.000
Cr1 0.500 0.500 0.000
P1 0.000 0.500 0.500
P2 0.500 0.000 0.500



No. 5
Compound: Al2CrP
Source: the Alexandria database
Functional: meta-GGA SCAN
Structure: PBEsol geometry

- calculated density (g cm⁻³) = 4.1
- space group = R-3m (166)
- spin magnetization (μB/cell) = 1.948
- uncorrected energy (eV per cell) = -43.98
- ΔE_f (meV per atom) = 76

a b c (Å): 8.205 8.205 8.205
angles (deg): 19.84 19.84 19.84
Fractional coordinates of all 4 atoms:
Al1 0.248 0.248 0.248
Al2 0.752 0.752 0.752
Cr1 0.500 0.500 0.500
P1 0.000 0.000 0.000



No. 6
Compound: AlCr2P
Source: the Alexandria database
Functional: meta-GGA SCAN
Structure: PBEsol geometry

- calculated density (g cm⁻³) = 5.6
- space group = F-43m (216)
- spin magnetization (μB/cell) = 1.414
- uncorrected energy (eV per cell) = -54.64
- polymorph energy (0 for the lowest one) (meV per atom) = 0
- ΔE_f (meV per atom) = 69

a b c (Å): 4.068 4.068 4.068
angles (deg): 60.00 60.00 60.00
Fractional coordinates of all 4 atoms:
Al1 0.000 0.000 0.000
Cr1 0.250 0.250 0.250
Cr2 0.500 0.500 0.500
P1 0.750 0.750 0.750



- Which value of uncorrected energy does entry 2 give?
  -46.84 eV per cell